Entry from Alexandria: crystalline HfAl2Re at its relaxed geometry (GGA-PBE).

Formation energy, eV per atom: -0.015
Energy above the lowest structure with this stoichiometry, eV per atom: 0.148

CIF file:
```
data_HfAl2Re
_chemical_formula_sum 'Hf3 Al6 Re3'
_cell_length_a 2.9260
_cell_length_b 2.9260
_cell_length_c 27.4859
_cell_angle_alpha 90.00
_cell_angle_beta 90.00
_cell_angle_gamma 120.00
_symmetry_space_group_name_H-M 'P 1'
_symmetry_Int_Tables_number 1
loop_
_symmetry_equiv_pos_as_xyz
'x,y,z'
loop_
_atom_site_label
_atom_site_type_symbol
_atom_site_fract_x
_atom_site_fract_y
_atom_site_fract_z
Hf1 Hf 0.0000 0.0000 0.0000
Hf2 Hf 0.3333 0.6667 0.6667
Hf3 Hf 0.6667 0.3333 0.3333
Al1 Al 0.0000 0.0000 0.2422
Al2 Al 0.0000 0.0000 0.7578
Al3 Al 0.3333 0.6667 0.4245
Al4 Al 0.3333 0.6667 0.9088
Al5 Al 0.6667 0.3333 0.0912
Al6 Al 0.6667 0.3333 0.5755
Re1 Re 0.0000 0.0000 0.5000
Re2 Re 0.3333 0.6667 0.1667
Re3 Re 0.6667 0.3333 0.8333
```

Entry from Alexandria: crystalline Re3MoIr at its relaxed geometry (GGA-PBE).

Formation energy, eV per atom: 2.378
Energy above the lowest structure with this stoichiometry, eV per atom: 0.000

CIF file:
```
data_Re3MoIr
_chemical_formula_sum 'Re3 Mo1 Ir1'
_cell_length_a 4.6500
_cell_length_b 4.6500
_cell_length_c 4.6500
_cell_angle_alpha 90.00
_cell_angle_beta 90.00
_cell_angle_gamma 90.00
_symmetry_space_group_name_H-M 'P 1'
_symmetry_Int_Tables_number 1
loop_
_symmetry_equiv_pos_as_xyz
'x,y,z'
loop_
_atom_site_label
_atom_site_type_symbol
_atom_site_fract_x
_atom_site_fract_y
_atom_site_fract_z
Re1 Re 0.0000 0.0000 0.5000
Re2 Re 0.0000 0.5000 0.0000
Re3 Re 0.5000 0.0000 0.0000
Mo1 Mo 0.5000 0.5000 0.5000
Ir1 Ir 0.0000 0.0000 0.0000
```

Entry from Alexandria: crystalline Ce2SmIr at its relaxed geometry (GGA-PBE).

Formation energy, eV per atom: -0.097
Energy above the lowest structure with this stoichiometry, eV per atom: 0.327

CIF file:
```
data_Ce2SmIr
_chemical_formula_sum 'Ce6 Sm3 Ir3'
_cell_length_a 3.7941
_cell_length_b 3.7941
_cell_length_c 30.0343
_cell_angle_alpha 90.00
_cell_angle_beta 90.00
_cell_angle_gamma 120.00
_symmetry_space_group_name_H-M 'P 1'
_symmetry_Int_Tables_number 1
loop_
_symmetry_equiv_pos_as_xyz
'x,y,z'
loop_
_atom_site_label
_atom_site_type_symbol
_atom_site_fract_x
_atom_site_fract_y
_atom_site_fract_z
Ce1 Ce 0.0000 0.0000 0.1094
Ce2 Ce 0.0000 0.0000 0.8906
Ce3 Ce 0.3333 0.6667 0.5572
Ce4 Ce 0.3333 0.6667 0.7761
Ce5 Ce 0.6667 0.3333 0.2239
Ce6 Ce 0.6667 0.3333 0.4428
Sm1 Sm 0.0000 0.0000 0.0000
Sm2 Sm 0.3333 0.6667 0.6667
Sm3 Sm 0.6667 0.3333 0.3333
Ir1 Ir 0.0000 0.0000 0.5000
Ir2 Ir 0.3333 0.6667 0.1667
Ir3 Ir 0.6667 0.3333 0.8333
```

Entry from Alexandria: crystalline Y2IrAu at its relaxed geometry (GGA-PBE).

Formation energy, eV per atom: -0.595

CIF file:
```
data_Y2IrAu
_chemical_formula_sum 'Y4 Ir2 Au2'
_cell_length_a 3.5743
_cell_length_b 4.5583
_cell_length_c 11.2301
_cell_angle_alpha 90.00
_cell_angle_beta 90.00
_cell_angle_gamma 90.00
_symmetry_space_group_name_H-M 'P 1'
_symmetry_Int_Tables_number 1
loop_
_symmetry_equiv_pos_as_xyz
'x,y,z'
loop_
_atom_site_label
_atom_site_type_symbol
_atom_site_fract_x
_atom_site_fract_y
_atom_site_fract_z
Y1 Y 0.0000 0.0000 0.0000
Y2 Y 0.0000 0.5000 0.2151
Y3 Y 0.5000 0.0000 0.7151
Y4 Y 0.5000 0.5000 0.5000
Ir1 Ir 0.0000 0.0000 0.5064
Ir2 Ir 0.5000 0.5000 0.0064
Au1 Au 0.0000 0.5000 0.7990
Au2 Au 0.5000 0.0000 0.2990
```

Entry from Alexandria: crystalline TbPm2Sn at its relaxed geometry (GGA-PBE).

Formation energy, eV per atom: -0.061
Energy above the lowest structure with this stoichiometry, eV per atom: 0.380

CIF file:
```
data_TbPm2Sn
_chemical_formula_sum 'Tb4 Pm8 Sn4'
_cell_length_a 3.4634
_cell_length_b 27.2023
_cell_length_c 5.6165
_cell_angle_alpha 90.00
_cell_angle_beta 90.00
_cell_angle_gamma 90.00
_symmetry_space_group_name_H-M 'P 1'
_symmetry_Int_Tables_number 1
loop_
_symmetry_equiv_pos_as_xyz
'x,y,z'
loop_
_atom_site_label
_atom_site_type_symbol
_atom_site_fract_x
_atom_site_fract_y
_atom_site_fract_z
Tb1 Tb 0.0000 0.0279 0.2500
Tb2 Tb 0.0000 0.9721 0.7500
Tb3 Tb 0.5000 0.4721 0.7500
Tb4 Tb 0.5000 0.5279 0.2500
Pm1 Pm 0.0000 0.0948 0.7500
Pm2 Pm 0.0000 0.1888 0.2500
Pm3 Pm 0.0000 0.8112 0.7500
Pm4 Pm 0.0000 0.9052 0.2500
Pm5 Pm 0.5000 0.3112 0.7500
Pm6 Pm 0.5000 0.4052 0.2500
Pm7 Pm 0.5000 0.5948 0.7500
Pm8 Pm 0.5000 0.6888 0.2500
Sn1 Sn 0.0000 0.3046 0.2500
Sn2 Sn 0.0000 0.6954 0.7500
Sn3 Sn 0.5000 0.1954 0.7500
Sn4 Sn 0.5000 0.8046 0.2500
```

Entry from Alexandria: crystalline Nb2AlCuAu at its relaxed geometry (GGA-PBE).

Formation energy, eV per atom: 0.886

CIF file:
```
data_Nb2AlCuAu
_chemical_formula_sum 'Nb2 Al1 Cu1 Au1'
_cell_length_a 4.6411
_cell_length_b 4.6411
_cell_length_c 4.6655
_cell_angle_alpha 90.00
_cell_angle_beta 90.00
_cell_angle_gamma 90.00
_symmetry_space_group_name_H-M 'P 1'
_symmetry_Int_Tables_number 1
loop_
_symmetry_equiv_pos_as_xyz
'x,y,z'
loop_
_atom_site_label
_atom_site_type_symbol
_atom_site_fract_x
_atom_site_fract_y
_atom_site_fract_z
Nb1 Nb 0.0000 0.5000 0.0000
Nb2 Nb 0.5000 0.0000 0.0000
Al1 Al 0.0000 0.0000 0.5000
Cu1 Cu 0.5000 0.5000 0.0000
Au1 Au 0.5000 0.5000 0.5000
```

Entry from Alexandria: crystalline Ce2PmNdSe4 at its relaxed geometry (GGA-PBE).

Formation energy without anion corrections, meV per atom: -1835

CIF file:
```
data_Ce2PmNdSe4
_chemical_formula_sum 'Ce2 Pm1 Nd1 Se4'
_cell_length_a 7.2869
_cell_length_b 4.1914
_cell_length_c 7.3197
_cell_angle_alpha 90.00
_cell_angle_beta 109.25
_cell_angle_gamma 90.00
_symmetry_space_group_name_H-M 'P 1'
_symmetry_Int_Tables_number 1
loop_
_symmetry_equiv_pos_as_xyz
'x,y,z'
loop_
_atom_site_label
_atom_site_type_symbol
_atom_site_fract_x
_atom_site_fract_y
_atom_site_fract_z
Ce1 Ce 0.0000 0.0000 0.0000
Ce2 Ce 0.5000 0.5000 0.0000
Pm1 Pm 0.0000 0.5000 0.5000
Nd1 Nd 0.5000 0.0000 0.5000
Se1 Se 0.2483 0.5000 0.2490
Se2 Se 0.2485 0.0000 0.7499
Se3 Se 0.7515 0.0000 0.2501
Se4 Se 0.7517 0.5000 0.7510
```

Entry from Alexandria: crystalline RbHfZn2 at its relaxed geometry (GGA-PBE).

Formation energy, eV per atom: 0.800
Energy above the lowest structure with this stoichiometry, eV per atom: 0.094

CIF file:
```
data_RbHfZn2
_chemical_formula_sum 'Rb4 Hf4 Zn8'
_cell_length_a 8.0695
_cell_length_b 8.0695
_cell_length_c 7.4711
_cell_angle_alpha 90.00
_cell_angle_beta 90.00
_cell_angle_gamma 90.00
_symmetry_space_group_name_H-M 'P 1'
_symmetry_Int_Tables_number 1
loop_
_symmetry_equiv_pos_as_xyz
'x,y,z'
loop_
_atom_site_label
_atom_site_type_symbol
_atom_site_fract_x
_atom_site_fract_y
_atom_site_fract_z
Rb1 Rb 0.0000 0.0000 0.0000
Rb2 Rb 0.0000 0.5000 0.2500
Rb3 Rb 0.5000 0.0000 0.7500
Rb4 Rb 0.5000 0.5000 0.5000
Hf1 Hf 0.0000 0.0000 0.5000
Hf2 Hf 0.0000 0.5000 0.7500
Hf3 Hf 0.5000 0.0000 0.2500
Hf4 Hf 0.5000 0.5000 0.0000
Zn1 Zn 0.1902 0.7500 0.6250
Zn2 Zn 0.2500 0.1902 0.3750
Zn3 Zn 0.2500 0.3098 0.8750
Zn4 Zn 0.3098 0.7500 0.1250
Zn5 Zn 0.6902 0.2500 0.1250
Zn6 Zn 0.7500 0.6902 0.8750
Zn7 Zn 0.7500 0.8098 0.3750
Zn8 Zn 0.8098 0.2500 0.6250
```

Entry from Alexandria: crystalline SrIn4Ge2 at its relaxed geometry (GGA-PBE).

Formation energy, eV per atom: -0.140

CIF file:
```
data_SrIn4Ge2
_chemical_formula_sum 'Sr2 In8 Ge4'
_cell_length_a 4.5491
_cell_length_b 18.3217
_cell_length_c 4.5427
_cell_angle_alpha 90.00
_cell_angle_beta 90.00
_cell_angle_gamma 90.00
_symmetry_space_group_name_H-M 'P 1'
_symmetry_Int_Tables_number 1
loop_
_symmetry_equiv_pos_as_xyz
'x,y,z'
loop_
_atom_site_label
_atom_site_type_symbol
_atom_site_fract_x
_atom_site_fract_y
_atom_site_fract_z
Sr1 Sr 0.0000 0.0000 0.0000
Sr2 Sr 0.5000 0.5000 0.0000
In1 In 0.0000 0.1774 0.5000
In2 In 0.0000 0.3219 0.0000
In3 In 0.0000 0.6781 0.0000
In4 In 0.0000 0.8226 0.5000
In5 In 0.5000 0.1781 0.0000
In6 In 0.5000 0.3226 0.5000
In7 In 0.5000 0.6774 0.5000
In8 In 0.5000 0.8219 0.0000
Ge1 Ge 0.0000 0.4322 0.5000
Ge2 Ge 0.0000 0.5678 0.5000
Ge3 Ge 0.5000 0.0678 0.5000
Ge4 Ge 0.5000 0.9322 0.5000
```

Entry from Alexandria: crystalline Ce12HOs6 at its relaxed geometry (GGA-PBE).

CIF file:
```
data_Ce12HOs6
_chemical_formula_sum 'Ce12 H1 Os6'
_cell_length_a 8.0130
_cell_length_b 8.0130
_cell_length_c 8.0130
_cell_angle_alpha 99.37
_cell_angle_beta 99.37
_cell_angle_gamma 99.37
_symmetry_space_group_name_H-M 'P 1'
_symmetry_Int_Tables_number 1
loop_
_symmetry_equiv_pos_as_xyz
'x,y,z'
loop_
_atom_site_label
_atom_site_type_symbol
_atom_site_fract_x
_atom_site_fract_y
_atom_site_fract_z
Ce1 Ce 0.0519 0.9246 0.6957
Ce2 Ce 0.0754 0.3043 0.9481
Ce3 Ce 0.1793 0.5745 0.4123
Ce4 Ce 0.3043 0.9481 0.0754
Ce5 Ce 0.4123 0.1793 0.5745
Ce6 Ce 0.4255 0.5877 0.8207
Ce7 Ce 0.5745 0.4123 0.1793
Ce8 Ce 0.5877 0.8207 0.4255
Ce9 Ce 0.6957 0.0519 0.9246
Ce10 Ce 0.8207 0.4255 0.5877
Ce11 Ce 0.9246 0.6957 0.0519
Ce12 Ce 0.9481 0.0754 0.3043
H1 H 0.0000 0.0000 0.0000
Os1 Os 0.1272 0.2950 0.6122
Os2 Os 0.2950 0.6122 0.1272
Os3 Os 0.3878 0.8728 0.7050
Os4 Os 0.6122 0.1272 0.2950
Os5 Os 0.7050 0.3878 0.8728
Os6 Os 0.8728 0.7050 0.3878
```

Entry from Alexandria: crystalline CrRe2Ru at its relaxed geometry (GGA-PBE).

Formation energy, eV per atom: 0.346
Energy above the lowest structure with this stoichiometry, eV per atom: 0.248

CIF file:
```
data_CrRe2Ru
_chemical_formula_sum 'Cr4 Re8 Ru4'
_cell_length_a 6.0895
_cell_length_b 6.0895
_cell_length_c 6.0895
_cell_angle_alpha 90.00
_cell_angle_beta 90.00
_cell_angle_gamma 90.00
_symmetry_space_group_name_H-M 'P 1'
_symmetry_Int_Tables_number 1
loop_
_symmetry_equiv_pos_as_xyz
'x,y,z'
loop_
_atom_site_label
_atom_site_type_symbol
_atom_site_fract_x
_atom_site_fract_y
_atom_site_fract_z
Cr1 Cr 0.0000 0.0000 0.0000
Cr2 Cr 0.0000 0.5000 0.5000
Cr3 Cr 0.5000 0.0000 0.5000
Cr4 Cr 0.5000 0.5000 0.0000
Re1 Re 0.2500 0.2500 0.2500
Re2 Re 0.2500 0.2500 0.7500
Re3 Re 0.2500 0.7500 0.2500
Re4 Re 0.2500 0.7500 0.7500
Re5 Re 0.7500 0.2500 0.2500
Re6 Re 0.7500 0.2500 0.7500
Re7 Re 0.7500 0.7500 0.2500
Re8 Re 0.7500 0.7500 0.7500
Ru1 Ru 0.0000 0.0000 0.5000
Ru2 Ru 0.0000 0.5000 0.0000
Ru3 Ru 0.5000 0.0000 0.0000
Ru4 Ru 0.5000 0.5000 0.5000
```

Entry from Alexandria: crystalline CoRhSCl2 at its relaxed geometry (GGA-PBE).

Formation energy without anion corrections, meV per atom: 558
Energy above the lowest structure with this stoichiometry, eV per atom: 0.046

CIF file:
```
data_CoRhSCl2
_chemical_formula_sum 'Co1 Rh1 S1 Cl2'
_cell_length_a 4.5383
_cell_length_b 4.5383
_cell_length_c 4.4131
_cell_angle_alpha 90.00
_cell_angle_beta 90.00
_cell_angle_gamma 90.00
_symmetry_space_group_name_H-M 'P 1'
_symmetry_Int_Tables_number 1
loop_
_symmetry_equiv_pos_as_xyz
'x,y,z'
loop_
_atom_site_label
_atom_site_type_symbol
_atom_site_fract_x
_atom_site_fract_y
_atom_site_fract_z
Co1 Co 0.0000 0.0000 0.0000
Rh1 Rh 0.5000 0.5000 0.5000
S1 S 0.0000 0.0000 0.5000
Cl1 Cl 0.0000 0.5000 0.0000
Cl2 Cl 0.5000 0.0000 0.0000
```

no.,VASP energy (eV per atom)
1,-7.4871
2,-9.0293
3,-6.4585
4,-6.8621
5,-4.5944
6,-5.3650
7,-6.2507
8,-2.5668
9,-3.2640
10,-7.5624
11,-10.6032
12,-3.8977